## LaGa2Pd2 (PBE)

Data for a relaxed structure of LaGa2Pd2.

Computed properties:
The energy above the most stable polymorph in this dataset is 0.29 eV per formula unit. The calculation puts the volume at 20.569 A^3/atom. The value obtained for the formation energy is -0.77 eV per atom. Its space-group type is I4/mmm, No. 139. The value obtained for the total DFT energy (no corrections) is -5.0456 eV per atom.

Geometry as CIF:
```
data_LaGa2Pd2
_chemical_formula_sum 'La1 Ga2 Pd2'
_cell_length_a 4.346
_cell_length_b 4.346
_cell_length_c 6.253
_cell_angle_alpha 69.67
_cell_angle_beta 69.67
_cell_angle_gamma 90.00
_space_group_name_H-M_alt 'P 1'
_space_group_IT_number 1
_space_group_name_Hall 'P 1'
loop_
_atom_site_label
_atom_site_fract_x
_atom_site_fract_y
_atom_site_fract_z
_atom_site_occupancy
Ga1 0.750 0.250 0.500 1
Ga2 0.250 0.750 0.500 1
Pd1 0.375 0.375 0.250 1
Pd2 0.625 0.625 0.750 1
La1 0.000 0.000 0.000 1
```